First-principles (PBE) data for a relaxed structure of CsSr2Pt2, as listed in the Alexandria database.

## Properties
N(E_F) ... 0.341 states/eV per atom
Total magnetic moment ... 0.00 μB per atom
DFT total energy ... -3.70 eV/atom
Formation energy ... -0.444 eV/atom

abc: 8.8148 8.8148 3.9566
angles: 90.00 90.00 90.00
Last column: nearest neighbours and their distance in Å.
Fractional coordinates of all 10 atoms:
Sr: 0.6460 0.8540 0.5000  6 Pt 3.18-3.36
Sr: 0.3540 0.1460 0.5000  6 Pt 3.18-3.36
Sr: 0.8540 0.3540 0.5000  6 Pt 3.18-3.36
Sr: 0.1460 0.6460 0.5000  6 Pt 3.18-3.36
Pt: 0.3637 0.8637 0.0000  6 Sr 3.18-3.36, 1 Pt 3.40, 2 Cs 3.42
Pt: 0.8637 0.6363 0.0000  6 Sr 3.18-3.36, 1 Pt 3.40, 2 Cs 3.42
Pt: 0.6363 0.1363 0.0000  6 Sr 3.18-3.36, 1 Pt 3.40, 2 Cs 3.42
Pt: 0.1363 0.3637 0.0000  6 Sr 3.18-3.36, 1 Pt 3.40, 2 Cs 3.42
Cs: 0.5000 0.5000 0.0000  4 Pt 3.42
Cs: 0.0000 0.0000 0.0000  4 Pt 3.42